Here is a relaxed structure of PrEr2RuO8 from Alexandria via LeMat-Bulk. Energies are from PBE.

uncorrected energy: -91.213 eV for the cell shown
formation energy (no corrections): -2364 meV/atom
crystal system: monoclinic
DOS(E_F): 0.360 states/eV/atom

Cell and atoms, written as CIF:
```
data_PrEr2RuO8
_space_group_name_H-M_alt 'P 1 2/m 1'
_space_group_IT_number 10
_space_group_name_Hall '-P 2y'
_cell_length_a 5.050
_cell_length_b 6.853
_cell_length_c 5.051
_cell_angle_alpha 90.00
_cell_angle_beta 90.52
_cell_angle_gamma 90.00
loop_
_atom_site_label
_atom_site_fract_x
_atom_site_fract_y
_atom_site_fract_z
Pr1 0.000 0.000 0.000
Er1 0.500 0.250 0.500
Ru1 0.000 0.500 0.000
O1 0.188 0.298 0.187
O2 0.267 0.500 0.732
O3 0.318 0.000 0.681
```